Density functional theory data (GGA-PBE) for a relaxed structure of AcPrNd2Tl4.

Formation energy   -2.918 eV/f.u.
Symmetry   No. 166

Cell: 5.623 5.623 9.741 Å, 73.22 73.22 60.00°
Element x y z (fractional)
Pr 0.500 0.500 0.500
Nd 0.750 0.750 0.749
Nd 0.250 0.250 0.251
Tl 0.127 0.127 0.619
Tl 0.377 0.377 0.868
Tl 0.873 0.873 0.381
Tl 0.623 0.623 0.132
Ac 0.000 0.000 0.000



Density functional theory data (GGA-PBE) for a relaxed structure of LiLa6Hg.

Formation energy   -0.899 eV/f.u.
Symmetry   No. 139

Cell: 5.328 5.329 9.972 Å, 74.50 74.51 90.00°
Element x y z (fractional)
Li 0.000 0.000 0.000
Hg 0.500 0.500 0.000
La 0.613 0.113 0.774
La 0.887 0.387 0.226
La 0.387 0.887 0.226
La 0.113 0.613 0.774
La 0.752 0.752 0.496
La 0.248 0.248 0.504



Density functional theory data (GGA-PBE) for a relaxed structure of MnCo.

Formation energy   0.653 eV/f.u.
Symmetry   No. 83

Cell: 8.528 8.528 2.496 Å, 90.00 90.00 90.00°
Last column: magnetic moment on the atom in μB.
Element x y z (fractional)
Co 0.177 0.082 0.500  0.74
Co 0.823 0.918 0.500  0.74
Co 0.883 0.683 0.000  0.56
Co 0.117 0.317 0.000  0.56
Co 0.918 0.177 0.500  0.74
Co 0.683 0.117 0.000  0.56
Co 0.317 0.883 0.000  0.56
Co 0.082 0.823 0.500  0.74
Mn 0.660 0.594 0.500  -0.58
Mn 0.594 0.340 0.500  -0.58
Mn 0.591 0.851 0.000  1.83
Mn 0.340 0.406 0.500  -0.58
Mn 0.406 0.660 0.500  -0.58
Mn 0.851 0.409 0.000  1.83
Mn 0.149 0.591 0.000  1.83
Mn 0.409 0.149 0.000  1.83



Density functional theory data (GGA-PBE) for a relaxed structure of Zr2TcAg.

Formation energy   0.687 eV/f.u.
Symmetry   No. 35

Cell: 2.955 2.955 9.633 Å, 90.00 90.00 112.35°
Element x y z (fractional)
Zr 0.000 0.000 0.971
Zr 0.500 0.500 0.256
Ag 0.000 0.000 0.516
Tc 0.500 0.500 0.758



Density functional theory data (GGA-PBE) for a relaxed structure of CaSb2Mo.

Symmetry   No. 8
Energy above the lowest structure with this stoichiometry   0.089 eV/atom
Formation energy without anion corrections   -0.15 eV/atom

Cell: 4.650 4.650 7.059 Å, 64.88 64.88 47.47°
Element x y z (fractional)
Mo 0.311 0.311 0.023
Sb 0.949 0.949 0.189
Sb 0.706 0.706 0.800
Ca 0.534 0.534 0.489



Density functional theory data (GGA-PBE) for a relaxed structure of MgMn2Br.

Symmetry   No. 12
Energy above the lowest structure with this stoichiometry   0.145 eV/atom
Formation energy without anion corrections   0.37 eV/atom

Cell: 5.233 5.233 4.884 Å, 87.40 87.40 35.11°
Last column: magnetic moment on the atom in μB.
Element x y z (fractional)
Mn 0.489 0.489 0.524  3.66
Mn 0.011 0.011 0.976  3.66
Mg 0.750 0.750 0.750  -0.06
Br 0.250 0.250 0.250  0.03



The following total magnetization values (in μB per formula unit) correspond, in order, to the records above: 0.00 0.00 1.30 0.00 0.00 7.52.